Below is crystalline YInCl4 at its relaxed geometry, with properties calculated at the PBE level.

Computed properties:
**Space-group type**: Cmmm, No. 65
**ΔE_f (raw)**: -1773 meV per atom

Geometry as POSCAR:
```
YInCl4
1.0
-4.0222 0.7777 -0.5239
-0.3276 -5.0695 -5.0119
-1.5997 -5.0563 4.7751
In Cl Y
1 4 1
Cartesian
-0.9636 -5.0629 -0.1184
-3.2752 -4.6711 1.9313
-1.5979 -8.3951 -0.1966
-4.3516 -0.9530 -0.5641
-2.6742 -4.6770 -2.6921
-2.0111 0.3889 -0.2619
```